Record 1
{"formula": "TaFe2Ru", "functional": "PBE-GGA", "state": "relaxed", "magmom_total_mub_per_atom": 0.095, "e_tot_ev_per_atom": -9.5313, "sg": "No. 119", "vol_a3_per_cell": 54.5, "cell": [[-1.8877, 1.8877, 3.8237], [1.8877, -1.8877, 3.8237], [1.8877, 1.8877, -3.8237]], "species": ["Ta", "Fe", "Fe", "Ru"], "fractional_positions": [[0.0000, 0.0000, 0.0000], [0.2500, 0.7500, 0.5000], [0.5000, 0.5000, 0.0000], [0.7500, 0.2500, 0.5000]]}



Record 2
{"formula": "TaFeRu4", "functional": "PBE-GGA", "state": "relaxed", "magmom_total_mub_per_atom": 0.662, "e_tot_ev_per_atom": -9.3352, "sg": "No. 216", "vol_a3_per_cell": 91.7, "cell": [[0.0000, 3.5797, 3.5797], [3.5797, 0.0000, 3.5797], [3.5797, 3.5797, 0.0000]], "species": ["Ta", "Fe", "Ru", "Ru", "Ru", "Ru"], "fractional_positions": [[0.0000, 0.0000, 0.0000], [0.2500, 0.2500, 0.2500], [0.1263, 0.6246, 0.6246], [0.6246, 0.1263, 0.6246], [0.6246, 0.6246, 0.1263], [0.6246, 0.6246, 0.6246]]}



Record 3
{"formula": "TaFe2Ru", "functional": "PBE-GGA", "state": "relaxed", "magmom_total_mub_per_atom": 1.115, "e_tot_ev_per_atom": -9.4923, "sg": "No. 123", "vol_a3_per_cell": 55.3, "cell": [[3.0957, 0.0000, 0.0000], [0.0000, 3.0957, 0.0000], [0.0000, 0.0000, 5.7724]], "species": ["Ta", "Fe", "Fe", "Ru"], "fractional_positions": [[0.0000, 0.0000, 0.0000], [0.5000, 0.5000, 0.2528], [0.5000, 0.5000, 0.7472], [0.0000, 0.0000, 0.5000]]}